Dy5SbPt2 | PBE | relaxed

Lattice parameters (Å, degrees): 8.749 8.749 8.749 127.30 127.30 77.75
Sites, in units of the cell vectors:
Dy1 0.018 0.204 0.500
Dy2 0.000 0.000 0.000
Dy3 0.500 0.500 0.000
Dy4 0.704 0.518 0.500
Dy5 0.982 0.796 0.500
Dy6 0.796 0.296 0.815
Dy7 0.296 0.482 0.500
Dy8 0.482 0.982 0.185
Dy9 0.518 0.018 0.815
Dy10 0.204 0.704 0.185
Pt1 0.862 0.362 0.224
Pt2 0.138 0.638 0.776
Pt3 0.638 0.862 0.500
Pt4 0.362 0.138 0.500
Sb1 0.250 0.250 0.000
Sb2 0.750 0.750 0.000

Output
spin magnetization = 0.00 μB per formula unit
formation energy without anion corrections = -96.4 kJ/mol of atoms